This record from the Alexandria database describes a relaxed KTl5Sb crystal. The functional is PBE-GGA.

Cell: 4.9843 4.9843 10.1974 Å, 90.00 90.00 90.00°
Last column: nearest neighbours and their distance in Å.
Sites, in units of the cell vectors:
K  0.0000  0.0000  0.0000  8 Tl 3.73
Tl  0.0000  0.0000  0.5000  8 Tl 3.41, 4 Sb 3.52
Tl  0.0000  0.5000  0.2722  6 Tl 3.41-3.52, 2 Sb 3.41, 2 K 3.73
Tl  0.0000  0.5000  0.7278  6 Tl 3.41-3.52, 2 Sb 3.41, 2 K 3.73
Tl  0.5000  0.0000  0.2722  6 Tl 3.41-3.52, 2 Sb 3.41, 2 K 3.73
Tl  0.5000  0.0000  0.7278  6 Tl 3.41-3.52, 2 Sb 3.41, 2 K 3.73
Sb  0.5000  0.5000  0.5000  12 Tl 3.41-3.52

## Properties
As for the space-group type: No. 123. Its formation energy from raw total energies is -5 kJ per mole of atoms. As for the density of states at the Fermi level: 3.48 states/eV/cell. Its total DFT energy (no corrections) is -2.4867 eV per atom.

---

This record from the Alexandria database describes a relaxed BaTl2Ag crystal. The functional is PBE-GGA.

Cell: 4.1804 4.6858 7.0254 Å, 90.00 106.36 90.00°
Last column: nearest neighbours and their distance in Å.
Sites, in units of the cell vectors:
Ba  0.0000  0.0000  0.0000  4 Ag 3.43-3.44, 5 Tl 3.61-3.83
Tl  0.2791  0.0000  0.5357  2 Ag 2.91
Tl  0.6714  0.5000  0.3339  4 Tl 3.39-3.45, 3 Ag 3.65-3.77
Ag  0.4040  0.5000  0.7924  2 Tl 2.91

## Properties
As for the space-group type: No. 6. As for the density of states at the Fermi level: 2.90 states/eV/cell. Its total DFT energy (no corrections) is -2.5220 eV per atom.

---

This record from the Alexandria database describes a relaxed Ag2Te4O11 crystal. The functional is PBE-GGA.

Cell: 7.3953 7.5262 9.8499 Å, 95.50 94.22 119.40°
Last column: nearest neighbours and their distance in Å.
Sites, in units of the cell vectors:
Ag  0.0067  0.3243  0.1477  6 O 2.47-2.74
Ag  0.2322  0.2251  0.4842  8 O 2.54-2.81
Ag  0.7678  0.7749  0.5158  8 O 2.54-2.81
Ag  0.9933  0.6757  0.8523  6 O 2.47-2.74
Te  0.0023  0.1857  0.8235  5 O 1.92-2.14
Te  0.2274  0.7112  0.4998  3 O 1.92-2.13
Te  0.4919  0.6910  0.8119  6 O 1.93-2.02
Te  0.4938  0.1947  0.8125  6 O 1.92-2.00
Te  0.5062  0.8053  0.1875  6 O 1.92-2.00
Te  0.5081  0.3090  0.1881  6 O 1.93-2.02
Te  0.7726  0.2888  0.5002  3 O 1.92-2.13
Te  0.9977  0.8143  0.1765  5 O 1.92-2.14
O  0.0658  0.8106  0.3676  2 Te 1.92-2.13
O  0.0751  0.4365  0.3991  1 Te 1.92
O  0.2080  0.1101  0.7371  2 Te 1.94-2.08
O  0.2175  0.5074  0.8576  2 Te 1.93-2.12
O  0.2224  0.1341  0.2281  2 Te 1.96-2.13
O  0.2239  0.7317  0.1206  2 Te 1.92-2.14
O  0.3892  0.8921  0.7929  2 Te 2.00-2.02
O  0.3897  0.1780  0.9940  2 Te 1.99
O  0.3988  0.5934  0.6156  1 Te 1.95
O  0.4036  0.5042  0.1642  2 Te 1.99
O  0.4657  0.8083  0.3827  2 Te 1.97-2.04
O  0.5343  0.1917  0.6173  2 Te 1.97-2.04
O  0.5964  0.4958  0.8358  2 Te 1.99
O  0.6012  0.4066  0.3844  1 Te 1.95
O  0.6103  0.8220  0.0060  2 Te 1.99
O  0.6108  0.1079  0.2071  2 Te 2.00-2.02
O  0.7761  0.2683  0.8794  2 Te 1.92-2.14
O  0.7776  0.8659  0.7719  2 Te 1.96-2.13
O  0.7825  0.4926  0.1424  2 Te 1.93-2.12
O  0.7920  0.8899  0.2629  2 Te 1.94-2.08
O  0.9249  0.5635  0.6009  1 Te 1.92
O  0.9342  0.1894  0.6324  2 Te 1.92-2.13

## Properties
As for the space-group type: No. 2. Its formation energy from raw total energies is -76 kJ per mole of atoms. Its total DFT energy (no corrections) is -5.0712 eV per atom.

---

This record from the Alexandria database describes a relaxed RbAcPb2 crystal. The functional is PBE-GGA.

Cell: 6.1786 6.1786 3.9707 Å, 90.00 90.00 90.00°
Last column: nearest neighbours and their distance in Å.
Sites, in units of the cell vectors:
Rb  0.0000  0.0000  0.0000  8 Pb 3.67, 2 Rb 3.97
Ac  0.5000  0.5000  0.0000  8 Pb 3.67, 2 Ac 3.97
Pb  0.0000  0.5000  0.5000  4 Ac 3.67, 4 Rb 3.67, 2 Pb 3.97
Pb  0.5000  0.0000  0.5000  4 Ac 3.67, 4 Rb 3.67, 2 Pb 3.97

## Properties
As for the space-group type: No. 123. As for the density of states at the Fermi level: 1.66 states/eV/cell. Its total DFT energy (no corrections) is -3.3259 eV per atom.